Computed, not measured: a geometry-optimized Li4Mn8O9F7 structure at the GGA+U level of DFT.

The total energy is -6.57 eV/atom. The total magnetization is 35.00 μB per formula unit.

abc: 5.843 6.211 10.919
angles: 75.08 74.73 62.41
Positions (direct):
Mn: 0.486 0.512 0.003
Mn: 0.747 0.250 0.250
Mn: 0.239 0.269 0.242
Mn: 0.998 0.002 0.499
Mn: 0.252 0.750 0.748
Mn: 0.752 0.749 0.749
Mn: 0.749 0.249 0.752
Mn: 0.246 0.746 0.246
F: 0.864 0.865 0.381
F: 0.374 0.358 0.880
F: 0.642 0.631 0.124
F: 0.124 0.145 0.617
F: 0.376 0.840 0.371
F: 0.878 0.361 0.884
F: 0.615 0.145 0.617
O: 0.613 0.618 0.654
O: 0.116 0.096 0.161
O: 0.408 0.829 0.859
O: 0.381 0.403 0.341
O: 0.892 0.880 0.843
O: 0.095 0.675 0.635
O: 0.591 0.171 0.140
O: 0.907 0.326 0.360
O: 0.139 0.641 0.135
Li: 0.817 0.846 0.060
Li: 0.293 0.365 0.550
Li: 0.700 0.640 0.449
Li: 0.204 0.137 0.948